Entry 1:
A geometry-optimized BaAsOs2Ru structure, computed with PBE.

Total moment = 0.65 μB per cell
Uncorrected energy = -6.1002 eV/atom

Unit cell a=4.7134 b=4.7134 c=5.7100 alpha=90.00 beta=90.00 gamma=90.00
Closest atoms and distances in Å follow each position.
Space group P4/mmm (No. 123)
Symmetry-distinct sites (fractional):
Ba 0.0000 0.0000 0.0000 (multiplicity 1)  2 Ru 2.86
As 0.5000 0.5000 0.0000 (multiplicity 1)  4 Ba 3.33, 8 Os 3.70
Os 0.0000 0.5000 0.5000 (multiplicity 2)  2 Ru 2.36
Ru 0.0000 0.0000 0.5000 (multiplicity 1)  4 Os 2.36

Entry 2:
A geometry-optimized SrLi2BrN structure, computed with PBE.

Raw formation energy = -848 meV/atom
Total moment = 0.00 μB per cell
E above lowest polymorph = 0.015 eV per atom
Uncorrected energy = -3.9493 eV/atom

Unit cell a=4.3044 b=4.3044 c=5.2072 alpha=90.00 beta=90.00 gamma=90.00
Closest atoms and distances in Å follow each position.
Space group P4/mmm (No. 123)
Symmetry-distinct sites (fractional):
Sr 0.0000 0.0000 0.0000 (multiplicity 1)  2 N 2.60
Li 0.0000 0.5000 0.5000 (multiplicity 2)  2 N 2.15
Br 0.5000 0.5000 0.0000 (multiplicity 1)  4 Sr 3.04, 8 Li 3.38
N 0.0000 0.0000 0.5000 (multiplicity 1)  4 Li 2.15

Entry 3:
A geometry-optimized SmErSbO2 structure, computed with PBE.

Raw formation energy = -2681 meV/atom
Total moment = 0.00 μB per cell
Uncorrected energy = -7.3451 eV/atom

Unit cell a=3.8828 b=3.8828 c=13.4629 alpha=90.00 beta=90.00 gamma=90.00
Closest atoms and distances in Å follow each position.
Space group I4mm (No. 107)
Symmetry-distinct sites (fractional):
Sm 0.0000 0.0000 0.0000 (multiplicity 2)  4 O 2.29
Er 0.0000 0.0000 0.3308 (multiplicity 2)  4 O 2.21
Sb 0.0000 0.0000 0.6666 (multiplicity 2)  4 Er 3.53, 4 Sm 3.54, 4 O 3.81, 4 Sb 3.88
O 0.0000 0.5000 0.4097 (multiplicity 4)  2 Er 2.21, 2 Sm 2.29

Entry 4:
A geometry-optimized Tb5InHg2 structure, computed with PBE.

Total moment = 0.00 μB per cell
Uncorrected energy = -3.6758 eV/atom

Unit cell a=8.3337 b=8.3337 c=13.0767 alpha=90.00 beta=90.00 gamma=90.00
Closest atoms and distances in Å follow each position.
Space group I4/mcm (No. 140)
Symmetry-distinct sites (fractional):
Tb 0.0000 0.0000 0.0000 (multiplicity 4)  4 Hg 3.22, 2 In 3.27
Tb 0.1541 0.3459 0.1502 (multiplicity 16)  3 Hg 3.13-3.14, 2 In 3.42, 1 Tb 3.45
In 0.0000 0.0000 0.2500 (multiplicity 4)  10 Tb 3.27-3.42
Hg 0.1395 0.3605 0.5000 (multiplicity 8)  8 Tb 3.13-3.22, 1 Hg 3.29

Entry 5:
A geometry-optimized H12Pd3Pt5 structure, computed with PBE.

Total moment = 0.00 μB per cell
Uncorrected energy = -4.2158 eV/atom

Unit cell a=11.1537 b=11.1537 c=11.1537 alpha=90.00 beta=90.00 gamma=90.00
Closest atoms and distances in Å follow each position.
Space group Ia-3d (No. 230)
Symmetry-distinct sites (fractional):
H 0.0182 0.0612 0.6519 (multiplicity 96)  2 Pt 1.76-1.84
Pd 0.0000 0.2500 0.1250 (multiplicity 24)  8 H 2.05-2.14
Pt 0.0000 0.0000 0.0000 (multiplicity 16)  6 H 1.84
Pt 0.0000 0.2500 0.3750 (multiplicity 24)  4 H 1.76

Entry 6:
A geometry-optimized ReIrSe4 structure, computed with PBE.

Raw formation energy = -239 meV/atom
Total moment = 0.00 μB per cell
E above lowest polymorph = 0.000 eV per atom
Uncorrected energy = -6.1132 eV/atom

Unit cell a=13.0580 b=3.6756 c=5.8600 alpha=90.00 beta=101.35 gamma=90.00
Closest atoms and distances in Å follow each position.
Space group Cm (No. 8)
Symmetry-distinct sites (fractional):
Re 0.0000 0.0000 0.0000 (multiplicity 2)  6 Se 2.40-2.64
Ir 0.4969 0.0000 0.5952 (multiplicity 2)  6 Se 2.48-2.58
Se 0.0951 0.0000 0.4412 (multiplicity 2)  2 Ir 2.51, 1 Re 2.64
Se 0.1277 0.5000 0.9658 (multiplicity 2)  1 Ir 2.48, 2 Re 2.52
Se 0.3663 0.5000 0.6543 (multiplicity 2)  1 Re 2.40, 2 Ir 2.58
Se 0.4037 0.0000 0.1732 (multiplicity 2)  1 Ir 2.53, 2 Re 2.55